First-principles (meta-GGA SCAN) data for a PBEsol-optimized structure of LaCd3I, as listed in the Alexandria database.

a b c (Å): 5.567 5.567 5.567
angles (deg): 90.00 90.00 90.00
Positions (direct):
La  0.000  0.000  0.000
Cd  0.000  0.500  0.500
Cd  0.500  0.000  0.500
Cd  0.500  0.500  0.000
I  0.500  0.500  0.500

## Properties
Uncorrected formation energy, meV/atom: 612
Crystal system: cubic
M_tot, μB/f.u.: 0.00
Total DFT energy (no corrections), eV/atom: -33.61

***

First-principles (meta-GGA SCAN) data for a PBEsol-optimized structure of Ca2PtO, as listed in the Alexandria database.

a b c (Å): 5.988 5.988 5.988
angles (deg): 113.84 113.84 101.05
Positions (direct):
Ca  0.049  0.125  0.424
Ca  0.375  0.951  0.076
Ca  0.701  0.625  0.576
Ca  0.875  0.299  0.924
Pt  0.250  0.750  0.500
Pt  0.500  0.500  0.000
O  0.000  0.000  0.000
O  0.750  0.250  0.500

## Properties
Uncorrected formation energy, meV/atom: -1787
Crystal system: tetragonal
M_tot, μB/f.u.: 0.00
Total DFT energy (no corrections), eV/atom: -25.72

***

First-principles (meta-GGA SCAN) data for a PBEsol-optimized structure of YCl, as listed in the Alexandria database.

a b c (Å): 9.756 9.756 9.756
angles (deg): 21.78 21.78 21.78
Positions (direct):
Y  0.215  0.215  0.215
Y  0.785  0.785  0.785
Cl  0.391  0.391  0.391
Cl  0.609  0.609  0.609

## Properties
Uncorrected formation energy, meV/atom: -1735
Crystal system: trigonal
M_tot, μB/f.u.: 0.84
Total DFT energy (no corrections), eV/atom: -19.65

***

- Which formula does entry 3 have?
  YCl

***

- Which formula does entry 3 have?
  YCl